{"formula": "NpSb6Pd12", "functional": "PBE", "state": "relaxed", "lattice": [[6.0335, 3.4834, 3.0213], [-6.0335, 3.4834, 3.0213], [0.0000, -6.9669, 3.0213]], "species": ["Np", "Sb", "Sb", "Sb", "Sb", "Sb", "Sb", "Pd", "Pd", "Pd", "Pd", "Pd", "Pd", "Pd", "Pd", "Pd", "Pd", "Pd", "Pd"], "fractional_positions": [[0.0000, 0.0000, 0.0000], [0.2650, 0.2650, 0.6766], [0.2650, 0.6766, 0.2650], [0.3234, 0.7350, 0.7350], [0.6766, 0.2650, 0.2650], [0.7350, 0.3234, 0.7350], [0.7350, 0.7350, 0.3234], [0.1149, 0.3522, 0.3522], [0.1216, 0.5000, 0.8784], [0.1216, 0.8784, 0.5000], [0.3522, 0.1149, 0.3522], [0.3522, 0.3522, 0.1149], [0.5000, 0.1216, 0.8784], [0.5000, 0.8784, 0.1216], [0.6478, 0.6478, 0.8851], [0.6478, 0.8851, 0.6478], [0.8784, 0.1216, 0.5000], [0.8784, 0.5000, 0.1216], [0.8851, 0.6478, 0.6478]], "dos_at_fermi_per_ev_fu": 19.034, "energy_ev_per_atom": -5.546}